First-principles (PBE) data for an optimized crystal structure of Cr3GeAs, as listed in Alexandria via LeMat-Bulk.

a = 4.6953 Å, b = 4.6953 Å, c = 4.6953 Å
α = 90.00°, β = 90.00°, γ = 90.00°
Atoms (fractional coordinates):
Cr  0.0000  0.0000  0.5000
Cr  0.0000  0.5000  0.0000
Cr  0.5000  0.0000  0.0000
Ge  0.0000  0.0000  0.0000
As  0.5000  0.5000  0.5000

Properties
Energy above the most stable polymorph in this dataset, eV/atom: 0.000
Energy of formation from the pure elements, meV per atom: 838
Symmetry: Pm-3m
Size of the total moment, Bohr magnetons per cell: 11.00